1 | Entry from Alexandria: As2PBrF after structural relaxation (PBE).

Cell: 4.297 4.297 5.670 Å, 90.00 90.00 90.00°
Fractional coordinates of all 5 atoms:
P 0.500 0.500 0.500
As 0.000 0.500 0.000
As 0.500 0.000 0.000
Br 0.000 0.000 0.500
F 0.000 0.000 0.000

Calculated values
As for the symmetry: P4/mmm (123). Its crystal system is tetragonal. As for the density of states at the Fermi level: 4.094 states/eV per cell. The value obtained for the mass density is 4.437 Mg/m³.


2 | Entry from Alexandria: As2PBrF after structural relaxation (PBE).

Cell: 4.767 4.767 5.036 Å, 90.00 90.00 90.00°
Fractional coordinates of all 5 atoms:
P 0.000 0.000 0.000
As 0.000 0.500 0.000
As 0.500 0.000 0.000
Br 0.000 0.000 0.500
F 0.500 0.500 0.500

Calculated values
As for the symmetry: P4/mmm (123). Its crystal system is tetragonal. As for the density of states at the Fermi level: 3.740 states/eV per cell. The value obtained for the mass density is 4.058 Mg/m³.


On energetic grounds, 2 is preferred over the next structure by 197 meV/atom.